{"formula": "NiHg2Pb", "functional": "PBE-GGA", "state": "relaxed", "magnetic_moment_mub_per_fu": 0.00, "rho_g_cm3": 12.15, "crystal_system": "monoclinic", "delta_e_f_ev_per_atom": 0.34, "cell": [[5.738, 0.000, 0.000], [0.000, 11.223, 0.000], [-1.975, 0.000, 2.832]], "species": ["Ni", "Ni", "Hg", "Hg", "Hg", "Hg", "Pb", "Pb"], "frac_coords": [[0.000, 0.000, 0.000], [0.500, 0.500, 0.000], [0.250, 0.250, 0.000], [0.250, 0.750, 0.000], [0.750, 0.250, 0.000], [0.750, 0.750, 0.000], [0.000, 0.500, 0.000], [0.500, 0.000, 0.000]]}

---

{"formula": "NiHg3Pb", "functional": "PBE-GGA", "state": "relaxed", "magnetic_moment_mub_per_fu": 0.00, "rho_g_cm3": 11.28, "crystal_system": "cubic", "delta_e_f_ev_per_atom": 0.18, "cell": [[5.037, 0.000, 0.000], [0.000, 5.037, 0.000], [0.000, 0.000, 5.037]], "species": ["Ni", "Hg", "Hg", "Hg", "Pb"], "frac_coords": [[0.000, 0.000, 0.000], [0.000, 0.000, 0.500], [0.000, 0.500, 0.000], [0.500, 0.000, 0.000], [0.500, 0.500, 0.500]]}

---

{"formula": "NiHg2Pb", "functional": "PBE-GGA", "state": "relaxed", "magnetic_moment_mub_per_fu": 0.00, "rho_g_cm3": 11.65, "crystal_system": "monoclinic", "delta_e_f_ev_per_atom": 0.24, "cell": [[4.500, 0.000, 0.000], [0.000, 4.300, 0.000], [-1.975, 0.000, 4.914]], "species": ["Ni", "Hg", "Hg", "Pb"], "frac_coords": [[0.000, 0.000, 0.000], [0.174, 0.500, 0.797], [0.826, 0.500, 0.203], [0.500, 0.000, 0.500]]}

---

{"formula": "Ni2HgPb", "functional": "PBE-GGA", "state": "relaxed", "magnetic_moment_mub_per_fu": 0.00, "relative_energy_mev_per_atom": 0, "rho_g_cm3": 12.27, "crystal_system": "monoclinic", "delta_e_f_ev_per_atom": 0.20, "cell": [[3.593, 0.000, 0.000], [0.000, 3.997, 0.000], [-1.780, 0.000, 4.949]], "species": ["Ni", "Ni", "Hg", "Pb"], "frac_coords": [[0.000, 0.000, 0.000], [0.145, 0.500, 0.291], [0.431, 0.500, 0.864], [0.722, 0.000, 0.448]]}

---

{"formula": "Ni2HgPb", "functional": "PBE-GGA", "state": "relaxed", "magnetic_moment_mub_per_fu": 0.00, "relative_energy_mev_per_atom": 125, "rho_g_cm3": 12.53, "crystal_system": "tetragonal", "delta_e_f_ev_per_atom": 0.33, "cell": [[3.843, 0.000, 0.000], [0.000, 3.843, 0.000], [0.000, 0.000, 9.424]], "species": ["Ni", "Ni", "Ni", "Ni", "Hg", "Hg", "Pb", "Pb"], "frac_coords": [[0.000, 0.000, 0.000], [0.000, 0.500, 0.250], [0.500, 0.000, 0.750], [0.500, 0.500, 0.500], [0.000, 0.000, 0.500], [0.500, 0.500, 0.000], [0.000, 0.500, 0.750], [0.500, 0.000, 0.250]]}

---

{"formula": "NiHg2Pb", "functional": "PBE-GGA", "state": "relaxed", "magnetic_moment_mub_per_fu": 0.00, "rho_g_cm3": 12.56, "crystal_system": "orthorhombic", "delta_e_f_ev_per_atom": 0.34, "cell": [[5.884, 0.000, 0.000], [0.000, 5.902, 0.000], [0.000, 0.000, 5.080]], "species": ["Ni", "Ni", "Hg", "Hg", "Hg", "Hg", "Pb", "Pb"], "frac_coords": [[0.000, 0.000, 0.000], [0.500, 0.500, 0.000], [0.250, 0.250, 0.500], [0.250, 0.750, 0.500], [0.750, 0.250, 0.500], [0.750, 0.750, 0.500], [0.000, 0.500, 0.000], [0.500, 0.000, 0.000]]}

---

{"formula": "NiHg2Pb", "functional": "PBE-GGA", "state": "relaxed", "magnetic_moment_mub_per_fu": 0.00, "rho_g_cm3": 11.16, "crystal_system": "tetragonal", "delta_e_f_ev_per_atom": 0.22, "cell": [[8.821, 0.000, 0.000], [0.000, 8.821, 0.000], [0.000, 0.000, 5.104]], "species": ["Ni", "Ni", "Ni", "Ni", "Hg", "Hg", "Hg", "Hg", "Hg", "Hg", "Hg", "Hg", "Pb", "Pb", "Pb", "Pb"], "frac_coords": [[0.000, 0.000, 0.000], [0.000, 0.500, 0.250], [0.500, 0.000, 0.750], [0.500, 0.500, 0.500], [0.154, 0.750, 0.125], [0.250, 0.154, 0.875], [0.250, 0.346, 0.375], [0.346, 0.750, 0.625], [0.654, 0.250, 0.625], [0.750, 0.654, 0.375], [0.750, 0.846, 0.875], [0.846, 0.250, 0.125], [0.000, 0.000, 0.500], [0.000, 0.500, 0.750], [0.500, 0.000, 0.250], [0.500, 0.500, 0.000]]}

---

{"formula": "NiHgPb3", "functional": "PBE-GGA", "state": "relaxed", "magnetic_moment_mub_per_fu": 0.00, "relative_energy_mev_per_atom": 85, "rho_g_cm3": 10.41, "crystal_system": "cubic", "delta_e_f_ev_per_atom": 0.12, "cell": [[5.199, 0.000, 0.000], [0.000, 5.199, 0.000], [0.000, 0.000, 5.199]], "species": ["Ni", "Hg", "Pb", "Pb", "Pb"], "frac_coords": [[0.000, 0.000, 0.000], [0.500, 0.500, 0.500], [0.000, 0.000, 0.500], [0.000, 0.500, 0.000], [0.500, 0.000, 0.000]]}

---

{"formula": "NiHg2Pb", "functional": "PBE-GGA", "state": "relaxed", "magnetic_moment_mub_per_fu": 0.00, "rho_g_cm3": 12.22, "crystal_system": "trigonal", "delta_e_f_ev_per_atom": 0.22, "cell": [[3.307, 0.000, 0.000], [-1.653, 2.864, 0.000], [0.000, 0.000, 28.708]], "species": ["Ni", "Ni", "Ni", "Hg", "Hg", "Hg", "Hg", "Hg", "Hg", "Pb", "Pb", "Pb"], "frac_coords": [[0.000, 0.000, 0.000], [0.333, 0.667, 0.667], [0.667, 0.333, 0.333], [0.000, 0.000, 0.268], [0.000, 0.000, 0.732], [0.333, 0.667, 0.399], [0.333, 0.667, 0.935], [0.667, 0.333, 0.065], [0.667, 0.333, 0.601], [0.000, 0.000, 0.500], [0.333, 0.667, 0.167], [0.667, 0.333, 0.833]]}

---

{"formula": "Ni2HgPb2", "functional": "PBE-GGA", "state": "relaxed", "magnetic_moment_mub_per_fu": 0.00, "relative_energy_mev_per_atom": 172, "rho_g_cm3": 11.64, "crystal_system": "tetragonal", "delta_e_f_ev_per_atom": 0.34, "cell": [[8.123, 0.000, 0.000], [0.000, 8.123, 0.000], [0.000, 0.000, 3.167]], "species": ["Ni", "Ni", "Ni", "Ni", "Hg", "Hg", "Pb", "Pb", "Pb", "Pb"], "frac_coords": [[0.116, 0.384, 0.000], [0.384, 0.884, 0.000], [0.616, 0.116, 0.000], [0.884, 0.616, 0.000], [0.000, 0.000, 0.500], [0.500, 0.500, 0.500], [0.166, 0.666, 0.500], [0.334, 0.166, 0.500], [0.666, 0.834, 0.500], [0.834, 0.334, 0.500]]}

---

{"formula": "NiHg2Pb4", "functional": "PBE-GGA", "state": "relaxed", "magnetic_moment_mub_per_fu": 0.00, "rho_g_cm3": 10.19, "crystal_system": "tetragonal", "delta_e_f_ev_per_atom": 0.15, "cell": [[5.103, 0.000, 0.000], [0.000, 5.103, 0.000], [0.000, 0.000, 16.132]], "species": ["Ni", "Ni", "Hg", "Hg", "Hg", "Hg", "Pb", "Pb", "Pb", "Pb", "Pb", "Pb", "Pb", "Pb"], "frac_coords": [[0.000, 0.000, 0.000], [0.500, 0.500, 0.500], [0.000, 0.000, 0.360], [0.000, 0.000, 0.640], [0.500, 0.500, 0.140], [0.500, 0.500, 0.860], [0.000, 0.000, 0.170], [0.000, 0.000, 0.830], [0.000, 0.500, 0.000], [0.000, 0.500, 0.500], [0.500, 0.000, 0.000], [0.500, 0.000, 0.500], [0.500, 0.500, 0.330], [0.500, 0.500, 0.670]]}

---

{"formula": "Ni2HgPb", "functional": "PBE-GGA", "state": "relaxed", "magnetic_moment_mub_per_fu": 0.00, "relative_energy_mev_per_atom": 253, "rho_g_cm3": 11.64, "crystal_system": "tetragonal", "delta_e_f_ev_per_atom": 0.46, "cell": [[7.130, 0.000, 0.000], [0.000, 7.130, 0.000], [0.000, 0.000, 5.896]], "species": ["Ni", "Ni", "Ni", "Ni", "Ni", "Ni", "Ni", "Ni", "Hg", "Hg", "Hg", "Hg", "Pb", "Pb", "Pb", "Pb"], "frac_coords": [[0.249, 0.250, 0.125], [0.250, 0.749, 0.375], [0.250, 0.751, 0.875], [0.251, 0.250, 0.625], [0.749, 0.750, 0.625], [0.750, 0.249, 0.875], [0.750, 0.251, 0.375], [0.751, 0.750, 0.125], [0.000, 0.000, 0.000], [0.000, 0.500, 0.250], [0.500, 0.000, 0.750], [0.500, 0.500, 0.500], [0.000, 0.000, 0.500], [0.000, 0.500, 0.750], [0.500, 0.000, 0.250], [0.500, 0.500, 0.000]]}

---

What is the formula in the seventh record? NiHg2Pb